Record 1
VASP calculation (GGA-PBE) on a relaxed structure of Zn2ReAsN. Values from VASP.

- SG: P4/mmm
- Formation energy from raw total energies: 0.54 eV/atom

Geometry as Quantum ESPRESSO input:
```
&SYSTEM
  ibrav = 0, nat = 5, ntyp = 4
/
ATOMIC_SPECIES
Zn 65.41 Zn.upf
Re 186.21 Re.upf
As 74.92 As.upf
N 14.01 N.upf
CELL_PARAMETERS angstrom
4.343 0.000 0.000
0.000 4.343 0.000
0.000 0.000 3.925
ATOMIC_POSITIONS crystal
Zn 0.000 0.500 0.000
Zn 0.500 0.000 0.000
Re 0.000 0.000 0.500
As 0.500 0.500 0.500
N 0.000 0.000 0.000
```



Record 2
VASP calculation (GGA-PBE) on a relaxed structure of SmHo7Sc4. Values from VASP.

- Polymorph energy (0 for the lowest one): 0.225 eV/atom
- SG: C2/m
- Energy of formation from the pure elements: 0.246 eV/atom

Geometry as Quantum ESPRESSO input:
```
&SYSTEM
  ibrav = 0, nat = 12, ntyp = 3
/
ATOMIC_SPECIES
Sm 150.36 Sm.upf
Ho 164.93 Ho.upf
Sc 44.96 Sc.upf
CELL_PARAMETERS angstrom
7.711 -2.856 0.000
7.711 2.856 0.000
-4.809 0.000 8.078
ATOMIC_POSITIONS crystal
Sm 0.000 0.000 0.000
Ho 0.089 0.089 0.449
Ho 0.211 0.211 0.882
Ho 0.240 0.240 0.275
Ho 0.500 0.500 0.000
Ho 0.760 0.760 0.725
Ho 0.789 0.789 0.118
Ho 0.911 0.911 0.551
Sc 0.333 0.333 0.649
Sc 0.444 0.444 0.299
Sc 0.556 0.556 0.701
Sc 0.667 0.667 0.351
```



Record 3
VASP calculation (GGA-PBE) on a relaxed structure of BaHgGePb. Values from VASP.

- SG: F-43m
- Energy of formation from the pure elements: -0.275 eV/atom

Geometry as Quantum ESPRESSO input:
```
&SYSTEM
  ibrav = 0, nat = 16, ntyp = 4
/
ATOMIC_SPECIES
Ba 137.33 Ba.upf
Hg 200.59 Hg.upf
Ge 72.64 Ge.upf
Pb 207.20 Pb.upf
CELL_PARAMETERS angstrom
7.902 0.000 0.000
0.000 7.902 0.000
0.000 0.000 7.902
ATOMIC_POSITIONS crystal
Ba 0.000 0.000 0.000
Ba 0.000 0.500 0.500
Ba 0.500 0.000 0.500
Ba 0.500 0.500 0.000
Hg 0.250 0.250 0.750
Hg 0.250 0.750 0.250
Hg 0.750 0.250 0.250
Hg 0.750 0.750 0.750
Ge 0.250 0.250 0.250
Ge 0.250 0.750 0.750
Ge 0.750 0.250 0.750
Ge 0.750 0.750 0.250
Pb 0.000 0.000 0.500
Pb 0.000 0.500 0.000
Pb 0.500 0.000 0.000
Pb 0.500 0.500 0.500
```



What ρ values result from the calculations? In sequence: 9.11 6.93 8.32 Mg/m³.